# SiOs2Ru | the Alexandria database | GGA-PBEsol | optimized geometry
data_SiOs2Ru
_chemical_formula_sum 'Si3 Os6 Ru3'
_cell_length_a 2.7340
_cell_length_b 2.7340
_cell_length_c 24.7820
_cell_angle_alpha 90.00
_cell_angle_beta 90.00
_cell_angle_gamma 120.00
_symmetry_space_group_name_H-M 'R -3 m'
_symmetry_Int_Tables_number 166
_symmetry_space_group_name_Hall '-R 3 2"'
loop_
_atom_site_label
_atom_site_fract_x
_atom_site_fract_y
_atom_site_fract_z
Si1 0.0000 0.0000 0.0000
Os1 0.0000 0.0000 0.2540
Ru1 0.0000 0.0000 0.5000
# Mass density   15825 kg/m3
# E_form (uncorrected)   -31 meV per atom